Entry 1:
Computed, not measured: a crystal of LiCu3Ni relaxed with PBEsol at the SCAN level of DFT.

ΔE_f   0.708 eV/atom
DOS(E_F)   0.8384 states/eV/atom

```
data_LiCu3Ni
_cell_length_a 4.357
_cell_length_b 4.357
_cell_length_c 4.357
_cell_angle_alpha 90.00
_cell_angle_beta 90.00
_cell_angle_gamma 90.00
_symmetry_space_group_name_H-M 'P m -3 m'
_symmetry_Int_Tables_number 221
_symmetry_space_group_name_Hall '-P 4 2 3'
loop_
_atom_site_label
_atom_site_type_symbol
_atom_site_fract_x
_atom_site_fract_y
_atom_site_fract_z
Li1 Li 0.000 0.000 0.000
Cu1 Cu 0.000 0.500 0.500
Ni1 Ni 0.500 0.500 0.500
```


Entry 2:
Computed, not measured: a crystal of NiBiPO5 relaxed with PBEsol at the SCAN level of DFT.

Energy   -605.25 eV per cell
DOS(E_F)   0.0000 states/eV/atom

```
data_NiBiPO5
_cell_length_a 5.120
_cell_length_b 11.155
_cell_length_c 7.503
_cell_angle_alpha 90.00
_cell_angle_beta 114.04
_cell_angle_gamma 90.00
_symmetry_space_group_name_H-M 'P 1 21/c 1'
_symmetry_Int_Tables_number 14
loop_
_symmetry_equiv_pos_as_xyz
'x,y,z'
'-x,-y,-z'
'-x,y+1/2,-z+1/2'
'x,-y+1/2,z+1/2'
loop_
_atom_site_label
_atom_site_type_symbol
_atom_site_fract_x
_atom_site_fract_y
_atom_site_fract_z
Ni1 Ni 0.053 0.077 0.183
Bi1 Bi 0.414 0.103 0.806
P1 P 0.305 0.653 0.023
O1 O 0.176 0.719 0.487
O2 O 0.206 0.582 0.160
O3 O 0.220 0.583 0.828
O4 O 0.258 0.026 0.018
O5 O 0.365 0.173 0.386
```


Entry 3:
Computed, not measured: a crystal of InSnOs2 relaxed with PBEsol at the SCAN level of DFT.

ΔE_f   0.479 eV/atom
DOS(E_F)   0.6196 states/eV/atom

```
data_InSnOs2
_cell_length_a 6.406
_cell_length_b 6.406
_cell_length_c 6.406
_cell_angle_alpha 90.00
_cell_angle_beta 90.00
_cell_angle_gamma 90.00
_symmetry_space_group_name_H-M 'F m -3 m'
_symmetry_Int_Tables_number 225
_symmetry_space_group_name_Hall '-F 4 2 3'
loop_
_atom_site_label
_atom_site_type_symbol
_atom_site_fract_x
_atom_site_fract_y
_atom_site_fract_z
In1 In 0.000 0.000 0.000
Sn1 Sn 0.000 0.000 0.500
Os1 Os 0.250 0.250 0.250
```


Entry 4:
Computed, not measured: a crystal of Li3SbF relaxed with PBEsol at the SCAN level of DFT.

Excess energy over the best structure of this formula in the dataset   0.000 eV per atom
DOS(E_F)   0.3130 states/eV/atom

```
data_Li3SbF
_cell_length_a 4.155
_cell_length_b 4.155
_cell_length_c 4.155
_cell_angle_alpha 90.00
_cell_angle_beta 90.00
_cell_angle_gamma 90.00
_symmetry_space_group_name_H-M 'P m -3 m'
_symmetry_Int_Tables_number 221
_symmetry_space_group_name_Hall '-P 4 2 3'
loop_
_atom_site_label
_atom_site_type_symbol
_atom_site_fract_x
_atom_site_fract_y
_atom_site_fract_z
Li1 Li 0.000 0.000 0.500
Sb1 Sb 0.500 0.500 0.500
F1 F 0.000 0.000 0.000
```


Entry 5:
Computed, not measured: a crystal of Ca2TlHg relaxed with PBEsol at the SCAN level of DFT.

ΔE_f   -0.461 eV/atom
DOS(E_F)   0.4212 states/eV/atom

```
data_Ca2TlHg
_cell_length_a 4.153
_cell_length_b 4.153
_cell_length_c 6.692
_cell_angle_alpha 90.00
_cell_angle_beta 90.00
_cell_angle_gamma 90.00
_symmetry_space_group_name_H-M 'P 4 m m'
_symmetry_Int_Tables_number 99
loop_
_symmetry_equiv_pos_as_xyz
'x,y,z'
'-y,x,z'
'-x,-y,z'
'y,-x,z'
'-x,y,z'
'y,x,z'
'x,-y,z'
'-y,-x,z'
loop_
_atom_site_label
_atom_site_type_symbol
_atom_site_fract_x
_atom_site_fract_y
_atom_site_fract_z
Ca1 Ca 0.000 0.000 0.000
Ca2 Ca 0.500 0.500 0.351
Tl1 Tl 0.500 0.500 0.815
Hg1 Hg 0.000 0.000 0.524
```


Entry 6:
Computed, not measured: a crystal of Mn2MoAuO relaxed with PBEsol at the SCAN level of DFT.

Energy   -145.95 eV per cell
DOS(E_F)   0.6610 states/eV/atom

```
data_Mn2MoAuO
_cell_length_a 4.721
_cell_length_b 4.721
_cell_length_c 3.724
_cell_angle_alpha 90.00
_cell_angle_beta 90.00
_cell_angle_gamma 90.00
_symmetry_space_group_name_H-M 'P 4/m m m'
_symmetry_Int_Tables_number 123
_symmetry_space_group_name_Hall '-P 4 2'
loop_
_atom_site_label
_atom_site_type_symbol
_atom_site_fract_x
_atom_site_fract_y
_atom_site_fract_z
Mn1 Mn 0.000 0.500 0.000
Mo1 Mo 0.000 0.000 0.000
Au1 Au 0.500 0.500 0.500
O1 O 0.000 0.000 0.500
```


Entry 7:
Computed, not measured: a crystal of Li2MnCrO4 relaxed with PBEsol at the SCAN level of DFT.

Excess energy over the best structure of this formula in the dataset   0.004 eV per atom

```
data_Li2MnCrO4
_cell_length_a 5.683
_cell_length_b 8.508
_cell_length_c 5.684
_cell_angle_alpha 90.00
_cell_angle_beta 90.00
_cell_angle_gamma 90.00
_symmetry_space_group_name_H-M 'C 2 2 21'
_symmetry_Int_Tables_number 20
loop_
_symmetry_equiv_pos_as_xyz
'x,y,z'
'-x,-y,z+1/2'
'x,-y,-z'
'-x,y,-z+1/2'
'x+1/2,y+1/2,z'
'-x+1/2,-y+1/2,z+1/2'
'x+1/2,-y+1/2,-z'
'-x+1/2,y+1/2,-z+1/2'
loop_
_atom_site_label
_atom_site_type_symbol
_atom_site_fract_x
_atom_site_fract_y
_atom_site_fract_z
Li1 Li 0.000 0.247 0.250
Li2 Li 0.249 0.500 0.500
Mn1 Mn 0.000 0.247 0.750
Cr1 Cr 0.249 0.500 0.000
O1 O 0.000 0.017 0.750
O2 O 0.000 0.478 0.750
O3 O 0.245 0.232 0.507
```


Entry 8:
Computed, not measured: a crystal of K2H4Pt relaxed with PBEsol at the SCAN level of DFT.

Energy   -208.63 eV per cell
DOS(E_F)   0.0000 states/eV/atom

```
data_K2H4Pt
_cell_length_a 5.487
_cell_length_b 5.487
_cell_length_c 7.911
_cell_angle_alpha 90.00
_cell_angle_beta 90.00
_cell_angle_gamma 90.00
_symmetry_space_group_name_H-M 'P 42/m n m'
_symmetry_Int_Tables_number 136
_symmetry_space_group_name_Hall '-P 4n 2n'
loop_
_atom_site_label
_atom_site_type_symbol
_atom_site_fract_x
_atom_site_fract_y
_atom_site_fract_z
K1 K 0.000 0.500 0.250
H1 H 0.000 0.000 0.209
H2 H 0.213 0.213 0.000
Pt1 Pt 0.000 0.000 0.000
```


Entry 9:
Computed, not measured: a crystal of SrCdAgS2 relaxed with PBEsol at the SCAN level of DFT.

Energy   -105.68 eV per cell
DOS(E_F)   0.3561 states/eV/atom

```
data_SrCdAgS2
_cell_length_a 5.071
_cell_length_b 5.071
_cell_length_c 4.945
_cell_angle_alpha 90.00
_cell_angle_beta 90.00
_cell_angle_gamma 90.00
_symmetry_space_group_name_H-M 'P 4/m m m'
_symmetry_Int_Tables_number 123
_symmetry_space_group_name_Hall '-P 4 2'
loop_
_atom_site_label
_atom_site_type_symbol
_atom_site_fract_x
_atom_site_fract_y
_atom_site_fract_z
Sr1 Sr 0.000 0.000 0.000
Cd1 Cd 0.500 0.500 0.500
Ag1 Ag 0.500 0.500 0.000
S1 S 0.000 0.500 0.500
```


Entry 10:
Computed, not measured: a crystal of HfTiHg2 relaxed with PBEsol at the SCAN level of DFT.

ΔE_f   -0.141 eV/atom
DOS(E_F)   0.5513 states/eV/atom

```
data_HfTiHg2
_cell_length_a 6.741
_cell_length_b 6.741
_cell_length_c 6.741
_cell_angle_alpha 90.00
_cell_angle_beta 90.00
_cell_angle_gamma 90.00
_symmetry_space_group_name_H-M 'F m -3 m'
_symmetry_Int_Tables_number 225
_symmetry_space_group_name_Hall '-F 4 2 3'
loop_
_atom_site_label
_atom_site_type_symbol
_atom_site_fract_x
_atom_site_fract_y
_atom_site_fract_z
Hf1 Hf 0.000 0.000 0.000
Ti1 Ti 0.000 0.000 0.500
Hg1 Hg 0.250 0.250 0.250
```


Entry 11:
Computed, not measured: a crystal of Cu2PtSeI relaxed with PBEsol at the SCAN level of DFT.

Energy   -154.78 eV per cell
DOS(E_F)   0.9642 states/eV/atom

```
data_Cu2PtSeI
_cell_length_a 4.953
_cell_length_b 4.953
_cell_length_c 4.528
_cell_angle_alpha 90.00
_cell_angle_beta 90.00
_cell_angle_gamma 90.00
_symmetry_space_group_name_H-M 'P 4/m m m'
_symmetry_Int_Tables_number 123
_symmetry_space_group_name_Hall '-P 4 2'
loop_
_atom_site_label
_atom_site_type_symbol
_atom_site_fract_x
_atom_site_fract_y
_atom_site_fract_z
Cu1 Cu 0.000 0.500 0.000
Pt1 Pt 0.000 0.000 0.000
Se1 Se 0.000 0.000 0.500
I1 I 0.500 0.500 0.500
```


Entry 12:
Computed, not measured: a crystal of Si4Pb2O11 relaxed with PBEsol at the SCAN level of DFT.

Energy   -1200.79 eV per cell
DOS(E_F)   0.0000 states/eV/atom

```
data_Si4Pb2O11
_cell_length_a 8.082
_cell_length_b 9.737
_cell_length_c 13.319
_cell_angle_alpha 90.00
_cell_angle_beta 90.00
_cell_angle_gamma 90.00
_symmetry_space_group_name_H-M 'P n a 21'
_symmetry_Int_Tables_number 33
loop_
_symmetry_equiv_pos_as_xyz
'x,y,z'
'-x,-y,z+1/2'
'-x+1/2,y+1/2,z+1/2'
'x+1/2,-y+1/2,z'
loop_
_atom_site_label
_atom_site_type_symbol
_atom_site_fract_x
_atom_site_fract_y
_atom_site_fract_z
Si1 Si 0.094 0.197 0.000
Si2 Si 0.094 0.702 0.915
Si3 Si 0.214 0.453 0.434
Si4 Si 0.234 0.955 0.481
Pb1 Pb 0.044 0.428 0.195
Pb2 Pb 0.050 0.043 0.235
O1 O 0.028 0.739 0.804
O2 O 0.043 0.386 0.479
O3 O 0.056 0.889 0.447
O4 O 0.059 0.224 0.119
O5 O 0.124 0.344 0.945
O6 O 0.140 0.846 0.971
O7 O 0.182 0.487 0.700
O8 O 0.219 0.474 0.313
O9 O 0.242 0.600 0.489
O10 O 0.245 0.097 0.414
O11 O 0.245 0.981 0.602
```


Entry 13:
Computed, not measured: a crystal of Ga3PdI relaxed with PBEsol at the SCAN level of DFT.

Energy   -120.15 eV per cell
DOS(E_F)   0.1006 states/eV/atom

```
data_Ga3PdI
_cell_length_a 4.880
_cell_length_b 4.880
_cell_length_c 4.880
_cell_angle_alpha 90.00
_cell_angle_beta 90.00
_cell_angle_gamma 90.00
_symmetry_space_group_name_H-M 'P m -3 m'
_symmetry_Int_Tables_number 221
_symmetry_space_group_name_Hall '-P 4 2 3'
loop_
_atom_site_label
_atom_site_type_symbol
_atom_site_fract_x
_atom_site_fract_y
_atom_site_fract_z
Ga1 Ga 0.000 0.000 0.500
Pd1 Pd 0.000 0.000 0.000
I1 I 0.500 0.500 0.500
```


Entry 14:
Computed, not measured: a crystal of CsBe3Tc relaxed with PBEsol at the SCAN level of DFT.

Excess energy over the best structure of this formula in the dataset   0.000 eV per atom
ΔE_f   1.119 eV/atom
DOS(E_F)   0.8851 states/eV/atom

```
data_CsBe3Tc
_cell_length_a 4.590
_cell_length_b 4.590
_cell_length_c 4.590
_cell_angle_alpha 90.00
_cell_angle_beta 90.00
_cell_angle_gamma 90.00
_symmetry_space_group_name_H-M 'P m -3 m'
_symmetry_Int_Tables_number 221
_symmetry_space_group_name_Hall '-P 4 2 3'
loop_
_atom_site_label
_atom_site_type_symbol
_atom_site_fract_x
_atom_site_fract_y
_atom_site_fract_z
Cs1 Cs 0.000 0.000 0.000
Be1 Be 0.000 0.500 0.500
Tc1 Tc 0.500 0.500 0.500
```


Entry 15:
Computed, not measured: a crystal of Sr3Au relaxed with PBEsol at the SCAN level of DFT.

ΔE_f   -0.451 eV/atom
DOS(E_F)   0.8532 states/eV/atom

```
data_Sr3Au
_cell_length_a 4.118
_cell_length_b 7.515
_cell_length_c 10.503
_cell_angle_alpha 90.00
_cell_angle_beta 90.00
_cell_angle_gamma 90.00
_symmetry_space_group_name_H-M 'P m m n'
_symmetry_Int_Tables_number 59
loop_
_symmetry_equiv_pos_as_xyz
'x,y,z'
'-x,-y,-z'
'-x+1/2,-y+1/2,z'
'x+1/2,y+1/2,-z'
'x+1/2,-y,-z'
'-x+1/2,y,z'
'-x,y+1/2,-z'
'x,-y+1/2,z'
loop_
_atom_site_label
_atom_site_type_symbol
_atom_site_fract_x
_atom_site_fract_y
_atom_site_fract_z
Sr1 Sr 0.250 0.007 0.169
Sr2 Sr 0.250 0.250 0.535
Au1 Au 0.250 0.750 0.685
```


Entry 16:
Computed, not measured: a crystal of BaMoAs relaxed with PBEsol at the SCAN level of DFT.

ΔE_f   0.374 eV/atom
DOS(E_F)   0.3076 states/eV/atom

```
data_BaMoAs
_cell_length_a 7.093
_cell_length_b 7.093
_cell_length_c 7.093
_cell_angle_alpha 90.00
_cell_angle_beta 90.00
_cell_angle_gamma 90.00
_symmetry_space_group_name_H-M 'F -4 3 m'
_symmetry_Int_Tables_number 216
_symmetry_space_group_name_Hall 'F -4 2 3'
loop_
_atom_site_label
_atom_site_type_symbol
_atom_site_fract_x
_atom_site_fract_y
_atom_site_fract_z
Ba1 Ba 0.000 0.000 0.000
Mo1 Mo 0.000 0.000 0.500
As1 As 0.250 0.250 0.250
```


Entry 17:
Computed, not measured: a crystal of Lu2AlCo3 relaxed with PBEsol at the SCAN level of DFT.

ΔE_f   -0.342 eV/atom
DOS(E_F)   0.4029 states/eV/atom

```
data_Lu2AlCo3
_cell_length_a 5.1600
_cell_length_b 5.1600
_cell_length_c 11.4260
_cell_angle_alpha 90.00
_cell_angle_beta 90.00
_cell_angle_gamma 120.00
_symmetry_space_group_name_H-M 'R -3 m'
_symmetry_Int_Tables_number 166
_symmetry_space_group_name_Hall '-R 3 2"'
loop_
_atom_site_label
_atom_site_type_symbol
_atom_site_fract_x
_atom_site_fract_y
_atom_site_fract_z
Lu1 Lu 0.0000 0.0000 0.1278
Al1 Al 0.0000 0.0000 0.5000
Co1 Co 0.0000 0.5000 0.0000
```


Entry 18:
Computed, not measured: a crystal of Tc2TeCl relaxed with PBEsol at the SCAN level of DFT.

Excess energy over the best structure of this formula in the dataset   0.010 eV per atom
DOS(E_F)   1.1448 states/eV/atom

```
data_Tc2TeCl
_cell_length_a 3.071
_cell_length_b 5.458
_cell_length_c 8.203
_cell_angle_alpha 90.00
_cell_angle_beta 90.00
_cell_angle_gamma 90.00
_symmetry_space_group_name_H-M 'C m m m'
_symmetry_Int_Tables_number 65
_symmetry_space_group_name_Hall '-C 2 2'
loop_
_atom_site_label
_atom_site_type_symbol
_atom_site_fract_x
_atom_site_fract_y
_atom_site_fract_z
Tc1 Tc 0.000 0.000 0.250
Te1 Te 0.000 0.500 0.000
Cl1 Cl 0.000 0.500 0.500
```


Entry 19:
Computed, not measured: a crystal of Ba2CuPt relaxed with PBEsol at the SCAN level of DFT.

ΔE_f   -0.470 eV/atom
DOS(E_F)   0.5859 states/eV/atom

```
data_Ba2CuPt
_cell_length_a 4.521
_cell_length_b 4.497
_cell_length_c 11.611
_cell_angle_alpha 90.00
_cell_angle_beta 90.00
_cell_angle_gamma 90.00
_symmetry_space_group_name_H-M 'A m m 2'
_symmetry_Int_Tables_number 38
loop_
_symmetry_equiv_pos_as_xyz
'x,y,z'
'-x,-y,z'
'-x,y,z'
'x,-y,z'
'x,y+1/2,z+1/2'
'-x,-y+1/2,z+1/2'
'-x,y+1/2,z+1/2'
'x,-y+1/2,z+1/2'
loop_
_atom_site_label
_atom_site_type_symbol
_atom_site_fract_x
_atom_site_fract_y
_atom_site_fract_z
Ba1 Ba 0.000 0.000 0.000
Ba2 Ba 0.500 0.000 0.282
Cu1 Cu 0.000 0.000 0.693
Pt1 Pt 0.500 0.000 0.582
```


Entry 20:
Computed, not measured: a crystal of PrInCu5 relaxed with PBEsol at the SCAN level of DFT.

ΔE_f   -0.234 eV/atom
DOS(E_F)   0.5260 states/eV/atom

```
data_PrInCu5
_cell_length_a 8.243
_cell_length_b 5.021
_cell_length_c 10.446
_cell_angle_alpha 90.00
_cell_angle_beta 90.00
_cell_angle_gamma 90.00
_symmetry_space_group_name_H-M 'P n m a'
_symmetry_Int_Tables_number 62
loop_
_symmetry_equiv_pos_as_xyz
'x,y,z'
'-x,-y,-z'
'-x+1/2,-y,z+1/2'
'x+1/2,y,-z+1/2'
'x+1/2,-y+1/2,-z+1/2'
'-x+1/2,y+1/2,z+1/2'
'-x,y+1/2,-z'
'x,-y+1/2,z'
loop_
_atom_site_label
_atom_site_type_symbol
_atom_site_fract_x
_atom_site_fract_y
_atom_site_fract_z
Pr1 Pr 0.244 0.250 0.059
In1 In 0.140 0.750 0.861
Cu1 Cu 0.060 0.750 0.107
Cu2 Cu 0.067 0.000 0.312
Cu3 Cu 0.085 0.250 0.516
Cu4 Cu 0.182 0.250 0.745
```


Magnetic moment across the listed records, respectively: 0.25 7.88 0.00 0.00 0.00 7.16 28.00 0.02 0.00 0.00 0.00 0.35 0.00 0.00 0.16 19.46 6.08 0.00 0.00 0.00 Bohr magnetons per cell.